No. 1
# TbSiIr PBE optimized geometry
data_TbSiIr
_chemical_formula_sum 'Tb4 Si4 Ir4'
_cell_length_a 4.266
_cell_length_b 6.925
_cell_length_c 7.396
_cell_angle_alpha 90.00
_cell_angle_beta 90.00
_cell_angle_gamma 90.00
_space_group_name_H-M_alt 'P 1'
_space_group_IT_number 1
loop_
_space_group_symop_operation_xyz
'x,y,z'
loop_
_atom_site_label
_atom_site_type_symbol
_atom_site_fract_x
_atom_site_fract_y
_atom_site_fract_z
_atom_site_occupancy
Si1 Si 0.750 0.200 0.109 1
Ir1 Ir 0.750 0.344 0.431 1
Ir2 Ir 0.750 0.844 0.069 1
Tb1 Tb 0.750 0.002 0.685 1
Ir3 Ir 0.250 0.156 0.931 1
Tb2 Tb 0.750 0.502 0.815 1
Ir4 Ir 0.250 0.656 0.569 1
Tb3 Tb 0.250 0.998 0.315 1
Si2 Si 0.250 0.800 0.891 1
Si3 Si 0.250 0.300 0.609 1
Tb4 Tb 0.250 0.498 0.185 1
Si4 Si 0.750 0.700 0.391 1
# Raw total energy: -7.349 eV per atom
# Total magnetic moment: 0.000 μB/f.u.
# Uncorrected formation energy: -1044 meV/atom
# SG: Pnma


No. 2
# Tb2Si3Ir2 PBE optimized geometry
data_Tb2Si3Ir2
_chemical_formula_sum 'Tb4 Si6 Ir4'
_cell_length_a 4.112
_cell_length_b 6.966
_cell_length_c 8.963
_cell_angle_alpha 90.00
_cell_angle_beta 103.26
_cell_angle_gamma 90.00
_space_group_name_H-M_alt 'P 1'
_space_group_IT_number 1
loop_
_space_group_symop_operation_xyz
'x,y,z'
loop_
_atom_site_label
_atom_site_type_symbol
_atom_site_fract_x
_atom_site_fract_y
_atom_site_fract_z
_atom_site_occupancy
Si1 Si 0.561 0.071 0.123 1
Si2 Si 0.774 0.250 0.547 1
Ir1 Ir 0.309 0.050 0.618 1
Tb1 Tb 0.154 0.250 0.309 1
Tb2 Tb 0.057 0.750 0.115 1
Tb3 Tb 0.846 0.750 0.691 1
Si3 Si 0.439 0.929 0.877 1
Si4 Si 0.439 0.571 0.877 1
Ir2 Ir 0.309 0.450 0.618 1
Tb4 Tb 0.943 0.250 0.885 1
Ir3 Ir 0.691 0.950 0.382 1
Si5 Si 0.561 0.429 0.123 1
Si6 Si 0.226 0.750 0.453 1
Ir4 Ir 0.691 0.550 0.382 1
# Raw total energy: -7.086 eV per atom
# Total magnetic moment: 0.000 μB/f.u.
# Uncorrected formation energy: -907 meV/atom
# SG: Cmcm
# ΔE to the lowest computed polymorph: 0.0000 eV/atom


No. 3
# TbSi2TcIr PBE optimized geometry
data_TbSi2TcIr
_chemical_formula_sum 'Tb1 Si2 Tc1 Ir1'
_cell_length_a 4.204
_cell_length_b 4.204
_cell_length_c 5.667
_cell_angle_alpha 111.77
_cell_angle_beta 111.77
_cell_angle_gamma 90.00
_space_group_name_H-M_alt 'P 1'
_space_group_IT_number 1
loop_
_space_group_symop_operation_xyz
'x,y,z'
loop_
_atom_site_label
_atom_site_type_symbol
_atom_site_fract_x
_atom_site_fract_y
_atom_site_fract_z
_atom_site_occupancy
Si1 Si 0.371 0.371 0.743 1
Tc1 Tc 0.750 0.250 0.500 1
Si2 Si 0.629 0.629 0.257 1
Tb1 Tb 0.000 0.000 0.000 1
Ir1 Ir 0.250 0.750 0.500 1
# Raw total energy: -7.840 eV per atom
# Total magnetic moment: 0.000 μB/f.u.
# Uncorrected formation energy: -899 meV/atom
# SG: I-4m2


No. 4
# TbSi3TcIr PBE optimized geometry
data_TbSi3TcIr
_chemical_formula_sum 'Tb2 Si6 Tc2 Ir2'
_cell_length_a 5.365
_cell_length_b 7.545
_cell_length_c 7.074
_cell_angle_alpha 122.23
_cell_angle_beta 90.00
_cell_angle_gamma 90.00
_space_group_name_H-M_alt 'P 1'
_space_group_IT_number 1
loop_
_space_group_symop_operation_xyz
'x,y,z'
loop_
_atom_site_label
_atom_site_type_symbol
_atom_site_fract_x
_atom_site_fract_y
_atom_site_fract_z
_atom_site_occupancy
Tb1 Tb 0.750 0.302 0.604 1
Si1 Si 0.750 0.753 0.507 1
Si2 Si 0.500 0.248 0.000 1
Si3 Si 0.500 0.752 0.000 1
Si4 Si 0.000 0.752 0.000 1
Si5 Si 0.000 0.248 0.000 1
Tc1 Tc 0.250 0.063 0.126 1
Ir1 Ir 0.250 0.434 0.867 1
Si6 Si 0.250 0.247 0.493 1
Ir2 Ir 0.750 0.566 0.133 1
Tb2 Tb 0.250 0.698 0.396 1
Tc2 Tc 0.750 0.937 0.874 1
# Raw total energy: -7.104 eV per atom
# Total magnetic moment: 0.000 μB/f.u.
# Uncorrected formation energy: -416 meV/atom
# SG: Cmcm


No. 5
# TbTh2Si2Ir7 PBE optimized geometry
data_TbTh2Si2Ir7
_chemical_formula_sum 'Tb1 Th2 Si2 Ir7'
_cell_length_a 4.097
_cell_length_b 4.097
_cell_length_c 13.306
_cell_angle_alpha 84.47
_cell_angle_beta 84.47
_cell_angle_gamma 89.52
_space_group_name_H-M_alt 'P 1'
_space_group_IT_number 1
loop_
_space_group_symop_operation_xyz
'x,y,z'
loop_
_atom_site_label
_atom_site_type_symbol
_atom_site_fract_x
_atom_site_fract_y
_atom_site_fract_z
_atom_site_occupancy
Th1 Th 0.901 0.901 0.346 1
Si1 Si 0.422 0.422 0.251 1
Th2 Th 0.099 0.099 0.654 1
Ir1 Ir 0.050 0.549 0.841 1
Si2 Si 0.578 0.578 0.749 1
Ir2 Ir 0.950 0.451 0.159 1
Ir3 Ir 0.631 0.631 0.572 1
Ir4 Ir 0.549 0.050 0.841 1
Tb1 Tb 0.000 0.000 0.000 1
Ir5 Ir 0.451 0.950 0.159 1
Ir6 Ir 0.369 0.369 0.428 1
Ir7 Ir 0.500 0.500 0.000 1
# Raw total energy: -8.492 eV per atom
# Total magnetic moment: 0.000 μB/f.u.
# Uncorrected formation energy: -796 meV/atom
# SG: C2/m


No. 6
# Tb2Th2Si4Ir PBE optimized geometry
data_Tb2Th2Si4Ir
_chemical_formula_sum 'Tb2 Th2 Si4 Ir1'
_cell_length_a 6.472
_cell_length_b 6.472
_cell_length_c 6.472
_cell_angle_alpha 98.52
_cell_angle_beta 115.21
_cell_angle_gamma 115.21
_space_group_name_H-M_alt 'P 1'
_space_group_IT_number 1
loop_
_space_group_symop_operation_xyz
'x,y,z'
loop_
_atom_site_label
_atom_site_type_symbol
_atom_site_fract_x
_atom_site_fract_y
_atom_site_fract_z
_atom_site_occupancy
Th1 Th 0.500 0.250 0.750 1
Si1 Si 0.000 0.245 0.755 1
Tb1 Tb 0.000 0.684 0.684 1
Si2 Si 0.510 0.755 0.755 1
Ir1 Ir 0.000 0.000 0.000 1
Si3 Si 0.000 0.755 0.245 1
Si4 Si 0.490 0.245 0.245 1
Tb2 Tb 0.000 0.316 0.316 1
Th2 Th 0.500 0.750 0.250 1
# Raw total energy: -6.457 eV per atom
# Total magnetic moment: 0.000 μB/f.u.
# Uncorrected formation energy: -384 meV/atom
# SG: I4/mmm


No. 7
# Tb2Th2SiIr4 PBE optimized geometry
data_Tb2Th2SiIr4
_chemical_formula_sum 'Tb2 Th2 Si1 Ir4'
_cell_length_a 6.556
_cell_length_b 6.556
_cell_length_c 6.556
_cell_angle_alpha 88.07
_cell_angle_beta 121.12
_cell_angle_gamma 121.12
_space_group_name_H-M_alt 'P 1'
_space_group_IT_number 1
loop_
_space_group_symop_operation_xyz
'x,y,z'
loop_
_atom_site_label
_atom_site_type_symbol
_atom_site_fract_x
_atom_site_fract_y
_atom_site_fract_z
_atom_site_occupancy
Si1 Si 0.000 0.000 0.000 1
Th1 Th 0.000 0.308 0.308 1
Th2 Th 0.000 0.692 0.692 1
Ir1 Ir 0.000 0.258 0.742 1
Ir2 Ir 0.000 0.742 0.258 1
Ir3 Ir 0.484 0.742 0.742 1
Ir4 Ir 0.516 0.258 0.258 1
Tb1 Tb 0.500 0.750 0.250 1
Tb2 Tb 0.500 0.250 0.750 1
# Raw total energy: -7.632 eV per atom
# Total magnetic moment: 0.000 μB/f.u.
# Uncorrected formation energy: -414 meV/atom
# SG: I4/mmm


No. 8
# Tb2TiSi3Ir4 PBE optimized geometry
data_Tb2TiSi3Ir4
_chemical_formula_sum 'Tb2 Ti1 Si3 Ir4'
_cell_length_a 4.077
_cell_length_b 4.077
_cell_length_c 10.415
_cell_angle_alpha 90.00
_cell_angle_beta 90.00
_cell_angle_gamma 90.00
_space_group_name_H-M_alt 'P 1'
_space_group_IT_number 1
loop_
_space_group_symop_operation_xyz
'x,y,z'
loop_
_atom_site_label
_atom_site_type_symbol
_atom_site_fract_x
_atom_site_fract_y
_atom_site_fract_z
_atom_site_occupancy
Ir1 Ir 0.000 0.000 0.000 1
Ir2 Ir 0.500 0.500 0.000 1
Tb1 Tb 0.000 0.500 0.759 1
Ti1 Ti 0.500 0.500 0.500 1
Si1 Si 0.000 0.500 0.126 1
Si2 Si 0.000 0.000 0.500 1
Si3 Si 0.500 0.000 0.874 1
Ir3 Ir 0.000 0.500 0.357 1
Tb2 Tb 0.500 0.000 0.241 1
Ir4 Ir 0.500 0.000 0.643 1
# Raw total energy: -7.930 eV per atom
# Total magnetic moment: 0.000 μB/f.u.
# Uncorrected formation energy: -1043 meV/atom
# SG: P-4m2


No. 9
# Tb2TiSi4Ir3 PBE optimized geometry
data_Tb2TiSi4Ir3
_chemical_formula_sum 'Tb2 Ti1 Si4 Ir3'
_cell_length_a 4.076
_cell_length_b 4.076
_cell_length_c 10.435
_cell_angle_alpha 90.00
_cell_angle_beta 90.00
_cell_angle_gamma 90.00
_space_group_name_H-M_alt 'P 1'
_space_group_IT_number 1
loop_
_space_group_symop_operation_xyz
'x,y,z'
loop_
_atom_site_label
_atom_site_type_symbol
_atom_site_fract_x
_atom_site_fract_y
_atom_site_fract_z
_atom_site_occupancy
Tb1 Tb 0.500 0.000 0.245 1
Ir1 Ir 0.000 0.000 0.500 1
Si1 Si 0.500 0.500 0.000 1
Tb2 Tb 0.000 0.500 0.755 1
Si2 Si 0.000 0.000 0.000 1
Si3 Si 0.500 0.000 0.645 1
Ti1 Ti 0.500 0.500 0.500 1
Si4 Si 0.000 0.500 0.355 1
Ir2 Ir 0.500 0.000 0.876 1
Ir3 Ir 0.000 0.500 0.124 1
# Raw total energy: -7.495 eV per atom
# Total magnetic moment: 0.000 μB/f.u.
# Uncorrected formation energy: -952 meV/atom
# SG: P-4m2


No. 10
# Tb2Tm2Si4Ir PBE optimized geometry
data_Tb2Tm2Si4Ir
_chemical_formula_sum 'Tb2 Tm2 Si4 Ir1'
_cell_length_a 6.412
_cell_length_b 6.412
_cell_length_c 6.412
_cell_angle_alpha 97.28
_cell_angle_beta 115.89
_cell_angle_gamma 115.89
_space_group_name_H-M_alt 'P 1'
_space_group_IT_number 1
loop_
_space_group_symop_operation_xyz
'x,y,z'
loop_
_atom_site_label
_atom_site_type_symbol
_atom_site_fract_x
_atom_site_fract_y
_atom_site_fract_z
_atom_site_occupancy
Tb1 Tb 0.500 0.750 0.250 1
Si1 Si 0.000 0.751 0.249 1
Si2 Si 0.499 0.249 0.249 1
Ir1 Ir 0.000 0.000 0.000 1
Tb2 Tb 0.500 0.250 0.750 1
Tm1 Tm 0.000 0.688 0.688 1
Si3 Si 0.000 0.249 0.751 1
Si4 Si 0.501 0.751 0.751 1
Tm2 Tm 0.000 0.312 0.312 1
# Raw total energy: -5.817 eV per atom
# Total magnetic moment: 0.000 μB/f.u.
# Uncorrected formation energy: -400 meV/atom
# SG: I4/mmm


Q: Among the records above, which one has the lowest raw total energy?
A: TbTh2Si2Ir7